# 1
A geometry-optimized Ce2PrBr6 structure, computed with PBE.

The calculation puts the total moment at 0.42 μB per atom. For the raw formation energy, the calculation gives -1627 meV/atom. The total energy is -82.66 eV/cell.

It has space group C2/m (No. 12), with a = 16.2453 Å, b = 4.0018 Å, c = 10.8272 Å, α = 90.00°, β = 113.37° and γ = 90.00°. The asymmetric unit holds Ce at (0.1744, 0.0000, 0.3453), Pr at (0.0000, 0.5000, 0.0000), Br at (0.0239, 0.5000, 0.2888), Br at (0.1487, 0.0000, 0.0515) and Br at (0.1813, 0.0000, 0.6263).



# 2
A geometry-optimized Na2ThCdTe4 structure, computed with PBE.

The calculation puts the total moment at 0.00 μB per atom. For the raw formation energy, the calculation gives -906 meV/atom. The total energy is -30.78 eV/cell.

It has space group P2/m (No. 10), with a = 7.7687 Å, b = 4.4728 Å, c = 8.0324 Å, α = 90.00°, β = 109.83° and γ = 90.00°. The asymmetric unit holds Na at (0.0000, 0.0000, 0.0000), Na at (0.5000, 0.5000, 0.0000), Th at (0.0000, 0.5000, 0.5000), Cd at (0.5000, 0.0000, 0.5000), Te at (0.2380, 0.0000, 0.7457) and Te at (0.2675, 0.5000, 0.2795).



# 3
A geometry-optimized Ce5Tl2In structure, computed with PBE.

The formation energy comes out at -0.1736 eV per atom. The calculation puts the total moment at 0.54 μB per atom. The total energy is -154.12 eV/cell.

It has space group I4/mcm (No. 140), with a = 8.6134 Å, b = 8.6134 Å, c = 12.4786 Å, α = 90.00°, β = 90.00° and γ = 90.00°. The asymmetric unit holds Ce at (0.0000, 0.0000, 0.0000), Ce at (0.1691, 0.3309, 0.1722), Tl at (0.1311, 0.3689, 0.5000) and In at (0.0000, 0.0000, 0.2500).



# 4
A geometry-optimized SmPuPb2O6 structure, computed with PBE.

The calculation puts the total moment at 0.30 μB per atom. For the raw formation energy, the calculation gives -2259 meV/atom. The total energy is -236.42 eV/cell.

It has space group R3 (No. 146, hexagonal axes), with a = 6.1374 Å, b = 6.1374 Å, c = 15.2941 Å, α = 90.00°, β = 90.00° and γ = 120.00°. The asymmetric unit holds Sm at (0.0000, 0.0000, 0.0000), Pu at (0.0000, 0.0000, 0.5059), Pb at (0.0000, 0.0000, 0.2233), Pb at (0.0000, 0.0000, 0.7273), O at (0.0056, 0.4200, 0.7688) and O at (0.0356, 0.6031, 0.2622).



# 5
A geometry-optimized ScMnAu structure, computed with PBE.

The formation energy comes out at 0.0042 eV per atom. The calculation puts the total moment at 0.98 μB per atom. The total energy is -18.77 eV/cell.

It has space group P3m1 (No. 156), with a = 3.1472 Å, b = 3.1472 Å, c = 6.5367 Å, α = 90.00°, β = 90.00° and γ = 120.00°. The asymmetric unit holds Sc at (0.0000, 0.0000, 0.0000), Mn at (0.3333, 0.6667, 0.6672) and Au at (0.6667, 0.3333, 0.3444).



# 6
A geometry-optimized Sc2BrCl structure, computed with PBE.

The calculation puts the total moment at 0.00 μB per atom. For the raw formation energy, the calculation gives -679 meV/atom. The total energy is -37.79 eV/cell.

It has space group I-4m2 (No. 119), with a = 3.7594 Å, b = 3.7594 Å, c = 12.8376 Å, α = 90.00°, β = 90.00° and γ = 90.00°. The asymmetric unit holds Sc at (0.0000, 0.0000, 0.0000), Sc at (0.0000, 0.5000, 0.2500), Br at (0.0000, 0.5000, 0.7500) and Cl at (0.0000, 0.0000, 0.5000).



Among the records above, which one has the highest total moment? ScMnAu